Compound: Na3TaAs
Source: Alexandria
Functional: PBEsol
Structure: relaxed

abc: 5.3704 5.3704 5.3704
angles: 90.00 90.00 90.00
Last column: nearest neighbours and their distance in Å.
Positions (direct):
1 Na 0.0000 0.5000 0.0000  2 As 2.69
2 Na 0.0000 0.0000 0.5000  2 As 2.69
3 Na 0.5000 0.0000 0.0000  2 As 2.69
4 As 0.0000 0.0000 0.0000  6 Na 2.69
5 Ta 0.5000 0.5000 0.5000  12 Na 3.80

Summary:
DFT formation energy	1.219	eV/atom
space group	No. 221
spin magnetization	3.20	μB/cell
DFT total energy	-3.15	eV/atom

=====

Compound: K2YZr
Source: Alexandria
Functional: PBEsol
Structure: relaxed

abc: 3.3251 5.9060 7.6944
angles: 112.19 101.84 91.62
Last column: nearest neighbours and their distance in Å.
Positions (direct):
1 K 0.5000 0.5000 0.5000  6 K 3.33-3.43
2 K 0.0000 0.0000 0.5000  6 K 3.33-3.43
3 Y 0.0000 0.5000 0.0000  2 Y 3.33, 4 Zr 3.35-3.43
4 Zr 0.5000 0.0000 0.0000  2 Zr 3.33, 4 Y 3.35-3.43

Summary:
DFT formation energy	0.770	eV/atom
offset from the most stable computed form	0.002	eV per atom
space group	No. 12
spin magnetization	1.16	μB/cell
DFT total energy	-3.77	eV/atom

=====

Compound: YTcIr2
Source: Alexandria
Functional: PBEsol
Structure: relaxed

abc: 2.8791 4.8209 4.8209
angles: 106.84 90.00 90.00
Last column: nearest neighbours and their distance in Å.
Positions (direct):
1 Ir 0.0000 0.5000 0.0000  4 Y 2.81, 4 Tc 2.81, 4 Ir 2.87-2.88
2 Ir 0.0000 0.0000 0.5000  4 Tc 2.81, 4 Y 2.81, 4 Ir 2.87-2.88
3 Tc 0.5000 0.0000 0.0000  8 Ir 2.81, 2 Y 2.87, 2 Tc 2.88
4 Y 0.5000 0.5000 0.5000  8 Ir 2.81, 2 Tc 2.87, 2 Y 2.88

Summary:
DFT formation energy	-0.167	eV/atom
offset from the most stable computed form	0.010	eV per atom
space group	No. 65
spin magnetization	0.00	μB/cell
DFT total energy	-9.60	eV/atom

=====

Compound: SrSmNiO4
Source: Alexandria
Functional: PBEsol
Structure: relaxed

abc: 3.7596 3.7596 6.5546
angles: 106.67 106.67 90.00
Last column: nearest neighbours and their distance in Å.
Positions (direct):
1 Sr 0.3585 0.3585 0.7170  5 O 2.38-2.61
2 O 0.1595 0.1595 0.3190  1 Ni 1.96
3 O 0.8291 0.8291 0.6583  1 Ni 2.00
4 O 0.0099 0.5099 0.0197  2 Ni 1.89
5 O 0.5099 0.0099 0.0197  2 Ni 1.89
6 Sm 0.6370 0.6370 0.2739  5 O 2.30-2.42
7 Ni 0.9962 0.9962 0.9923  6 O 1.89-2.00

Summary:
space group	No. 107
spin magnetization	0.00	μB/cell
DFT total energy	-7.27	eV/atom
formation energy (no corrections)	-16.8	eV per formula unit

=====

Compound: Ba4ZrCd
Source: Alexandria
Functional: PBEsol
Structure: relaxed

abc: 7.0088 7.0088 7.0088
angles: 60.00 60.00 60.00
Last column: nearest neighbours and their distance in Å.
Positions (direct):
1 Ba 0.3752 0.3752 0.3752  6 Ba 3.50-3.51
2 Ba 0.3752 0.3752 0.8744  6 Ba 3.50-3.51
3 Ba 0.8744 0.3752 0.3752  6 Ba 3.50-3.51
4 Ba 0.3752 0.8744 0.3752  6 Ba 3.50-3.51
5 Cd 0.7500 0.7500 0.7500  12 Ba 4.11, 4 Zr 4.29
6 Zr 0.0000 0.0000 0.0000  12 Ba 4.11, 4 Cd 4.29

Summary:
DFT formation energy	0.742	eV/atom
space group	No. 216
spin magnetization	3.83	μB/cell
DFT total energy	-2.40	eV/atom

=====

Compound: GaNi2
Source: Alexandria
Functional: PBEsol
Structure: relaxed

abc: 3.6446 4.2263 4.9941
angles: 101.86 90.00 115.54
Last column: nearest neighbours and their distance in Å.
Positions (direct):
1 Ni 0.5000 0.0000 0.5000  8 Ni 2.46-2.52, 4 Ga 2.50
2 Ni 0.8282 0.6564 0.6788  5 Ga 2.42-2.55, 7 Ni 2.46-2.64
3 Ni 0.5000 0.0000 0.0000  6 Ga 2.49-2.59, 6 Ni 2.50-2.58
4 Ni 0.1718 0.3436 0.3212  5 Ga 2.42-2.55, 7 Ni 2.46-2.64
5 Ga 0.1551 0.3103 0.8059  10 Ni 2.42-2.59
6 Ga 0.8449 0.6897 0.1941  10 Ni 2.42-2.59

Summary:
DFT formation energy	-0.387	eV/atom
space group	No. 12
spin magnetization	0.00	μB/cell
DFT total energy	-5.60	eV/atom

=====

Compound: CaZnAs2
Source: Alexandria
Functional: PBEsol
Structure: relaxed

abc: 3.0278 5.1271 5.2557
angles: 90.00 89.99 90.00
Last column: nearest neighbours and their distance in Å.
Positions (direct):
1 As 0.0006 0.0000 0.9213  2 Zn 2.62
2 As 0.0000 0.5000 0.3317  2 Zn 2.58-2.68
3 Ca 0.5003 0.0000 0.4248  8 As 3.02-3.05, 2 Ca 3.03
4 Zn 0.9991 0.5000 0.8222  4 As 2.58-2.68

Summary:
DFT formation energy	-0.355	eV/atom
space group	No. 25
spin magnetization	0.00	μB/cell
DFT total energy	-3.84	eV/atom

=====

Compound: SrLa2Sb
Source: Alexandria
Functional: PBEsol
Structure: relaxed

abc: 4.3351 4.8681 6.7322
angles: 90.00 105.07 90.00
Last column: nearest neighbours and their distance in Å.
Positions (direct):
1 La 0.9764 0.0000 0.0880  4 La 3.19-3.57, 1 Sb 3.48
2 La 0.5982 0.5000 0.2227  2 Sb 3.12, 2 La 3.19
3 Sb 0.6811 0.0000 0.5217  3 La 3.12-3.48, 4 Sr 3.38-3.41
4 Sr 0.2443 0.5000 0.6676  4 Sb 3.38-3.41, 3 La 3.53-3.70

Summary:
space group	No. 6
spin magnetization	0.00	μB/cell
DFT total energy	-4.71	eV/atom
formation energy (no corrections)	-1.8	eV per formula unit

=====

Compound: ScZn4As
Source: Alexandria
Functional: PBEsol
Structure: relaxed

abc: 5.1588 5.1588 5.1588
angles: 60.00 60.00 60.00
Last column: nearest neighbours and their distance in Å.
Positions (direct):
1 As 0.7500 0.7500 0.7500  12 Zn 3.03, 4 Sc 3.16
2 Sc 0.0000 0.0000 0.0000  12 Zn 3.02, 4 As 3.16
3 Zn 0.3744 0.3744 0.3744  6 Zn 2.57-2.59
4 Zn 0.3744 0.3744 0.8769  6 Zn 2.57-2.59
5 Zn 0.8769 0.3744 0.3744  6 Zn 2.57-2.59
6 Zn 0.3744 0.8769 0.3744  6 Zn 2.57-2.59

Summary:
DFT formation energy	-0.095	eV/atom
space group	No. 216
spin magnetization	0.00	μB/cell
DFT total energy	-3.10	eV/atom

=====

Compound: CoNi
Source: Alexandria
Functional: PBEsol
Structure: relaxed

abc: 2.4435 3.9634 4.2764
angles: 90.00 90.00 90.00
Last column: nearest neighbours and their distance in Å.
Positions (direct):
1 Ni 0.0000 0.5000 0.9161  6 Ni 2.44, 6 Co 2.44-2.47
2 Ni 0.5000 0.0000 0.0839  6 Ni 2.44, 6 Co 2.44-2.47
3 Co 0.0000 0.0000 0.5848  6 Ni 2.44-2.47, 6 Co 2.44
4 Co 0.5000 0.5000 0.4152  6 Ni 2.44-2.47, 6 Co 2.44

Summary:
DFT formation energy	0.002	eV/atom
space group	No. 59
spin magnetization	4.57	μB/cell
DFT total energy	-6.95	eV/atom

=====

Compound: ZrScNi4
Source: Alexandria
Functional: PBEsol
Structure: relaxed

abc: 4.8326 4.8326 4.8326
angles: 60.00 60.00 60.00
Last column: nearest neighbours and their distance in Å.
Positions (direct):
1 Ni 0.6247 0.6247 0.1260  6 Ni 2.41-2.42
2 Ni 0.1260 0.6247 0.6247  6 Ni 2.41-2.42
3 Ni 0.6247 0.1260 0.6247  6 Ni 2.41-2.42
4 Ni 0.6247 0.6247 0.6247  6 Ni 2.41-2.42
5 Sc 0.2500 0.2500 0.2500  12 Ni 2.83, 4 Zr 2.96
6 Zr 0.0000 0.0000 0.0000  12 Ni 2.83, 4 Sc 2.96

Summary:
DFT formation energy	-0.495	eV/atom
space group	No. 216
spin magnetization	0.00	μB/cell
DFT total energy	-7.22	eV/atom

=====

Compound: Li4Mn3Ni3Sn2O16
Source: Alexandria
Functional: PBEsol
Structure: relaxed

abc: 5.7067 5.8125 9.5315
angles: 91.33 90.00 119.40
Last column: nearest neighbours and their distance in Å.
Positions (direct):
1 Ni 0.1698 0.3396 0.7846  6 O 1.97-2.00
2 Ni 0.8308 0.1708 0.2860  6 O 1.90-2.10
3 Ni 0.3400 0.1708 0.2860  6 O 1.90-2.10
4 Mn 0.6623 0.8312 0.7852  6 O 1.88-1.94
5 Mn 0.1689 0.8312 0.7852  6 O 1.88-1.94
6 Mn 0.8290 0.6581 0.2836  6 O 1.89-1.92
7 Sn 0.3258 0.6517 0.5068  6 O 2.02-2.19
8 Sn 0.6676 0.3352 0.0090  6 O 2.04-2.14
9 O 0.6736 0.8211 0.3988  1 Li 1.87, 1 Mn 1.92, 1 Sn 2.02
10 O 0.4827 0.9654 0.6693  2 Mn 1.92, 1 Li 1.97
11 O 0.3441 0.6882 0.8892  2 Mn 1.88, 1 Ni 2.00, 1 Li 2.06
12 O 0.9918 0.9836 0.6916  1 Li 1.79, 2 Mn 1.88, 1 Ni 1.99
13 O 0.9954 0.9908 0.1971  1 Li 1.80, 1 Mn 1.89, 2 Ni 1.90
14 O 0.1475 0.8211 0.3988  1 Li 1.87, 1 Mn 1.92, 1 Sn 2.02
15 O 0.4916 0.5238 0.6675  1 Mn 1.90, 1 Li 1.92, 1 Ni 1.97
16 O 0.0322 0.5238 0.6675  1 Mn 1.90, 1 Li 1.92, 1 Ni 1.97
17 O 0.8428 0.6856 0.8950  1 Li 1.93, 2 Mn 1.94, 1 Sn 2.10
18 O 0.1487 0.2973 0.4005  1 Li 1.87, 2 Ni 1.92, 1 Sn 2.04
19 O 0.9776 0.5049 0.1599  1 Li 1.89, 1 Mn 1.90, 1 Sn 2.10, 1 Ni 2.10
20 O 0.5273 0.5049 0.1599  1 Li 1.89, 1 Mn 1.90, 1 Sn 2.10, 1 Ni 2.10
21 O 0.6727 0.3454 0.3870  1 Mn 1.89, 2 Ni 1.90, 1 Li 2.07
22 O 0.8373 0.1519 0.8971  1 Li 1.89, 1 Mn 1.92, 1 Ni 1.99, 1 Sn 2.04
23 O 0.5220 0.0440 0.1676  2 Ni 1.90, 1 Li 1.91
24 O 0.3146 0.1519 0.8971  1 Li 1.89, 1 Mn 1.92, 1 Ni 1.99, 1 Sn 2.04
25 Li 0.3417 0.6834 0.1053  4 O 1.89-2.06
26 Li 0.0037 0.0073 0.0090  4 O 1.80-1.93
27 Li 0.9945 0.9890 0.5039  4 O 1.79-1.87
28 Li 0.6654 0.3309 0.6035  4 O 1.92-2.07

Summary:
space group	No. 8
spin magnetization	9.52	μB/cell
DFT total energy	-6.86	eV/atom
formation energy (no corrections)	-44.0	eV per formula unit